Entry from Alexandria: an optimized crystal structure of KTeIrI2 (PBEsol).

The uncorrected formation energy comes out at 1656 meV/atom. As for the density of states at the Fermi level: 8.16 states/eV/f.u. The value obtained for the spin magnetization is 6.01 μB per cell.

The space group is P4/mmm (No. 123) and the conventional cell measures 6.183, 6.183 and 6.142 Å, with angles of 90.00, 90.00 and 90.00 degrees. The distinct sites, in fractional coordinates, are K at (0.000, 0.000, 0.000), Te at (0.000, 0.000, 0.500), Ir at (0.500, 0.500, 0.500) and I at (0.000, 0.500, 0.000).